{
  "formula": "TlCr2HRh",
  "functional": "GGA-PBE",
  "state": "optimized geometry",
  "rho_g_cm3": 10.8,
  "magnetic_moment_mub_per_fu": 0.0,
  "dft_energy_ev_per_atom": -5.950,
  "dos_at_fermi_per_ev_fu": 5.79,
  "cell": [[3.7052, 0.0000, 0.0000], [0.0000, 3.7052, 0.0000], [0.0000, 0.0000, 4.6108]],
  "species": ["Tl", "Cr", "Cr", "H", "Rh"],
  "fractional_positions": [[0.0000, 0.0000, 0.0000], [0.0000, 0.5000, 0.5000], [0.5000, 0.0000, 0.5000], [0.0000, 0.0000, 0.5000], [0.5000, 0.5000, 0.0000]]
}

{
  "formula": "BaNbW3",
  "functional": "GGA-PBE",
  "state": "optimized geometry",
  "rho_g_cm3": 10.5,
  "magnetic_moment_mub_per_fu": 0.0,
  "delta_e_f_mev_per_atom": 1974,
  "dos_at_fermi_per_ev_fu": 6.75,
  "cell": [[4.9872, 0.0000, 0.0000], [0.0000, 4.9872, 0.0000], [0.0000, 0.0000, 4.9872]],
  "species": ["Ba", "Nb", "W", "W", "W"],
  "fractional_positions": [[0.0000, 0.0000, 0.0000], [0.5000, 0.5000, 0.5000], [0.0000, 0.5000, 0.5000], [0.5000, 0.0000, 0.5000], [0.5000, 0.5000, 0.0000]]
}

{
  "formula": "PIr3",
  "functional": "GGA-PBE",
  "state": "optimized geometry",
  "rho_g_cm3": 17.1,
  "magnetic_moment_mub_per_fu": 0.0,
  "delta_e_f_mev_per_atom": 49,
  "dos_at_fermi_per_ev_fu": 2.75,
  "cell": [[3.4625, 0.0000, 0.0000], [0.0000, 5.5913, 0.0000], [0.0000, 0.0000, 6.0958]],
  "species": ["P", "P", "Ir", "Ir", "Ir", "Ir", "Ir", "Ir"],
  "fractional_positions": [[0.2500, 0.2500, 0.2261], [0.7500, 0.7500, 0.7739], [0.2500, 0.0106, 0.6739], [0.2500, 0.4894, 0.6739], [0.2500, 0.7500, 0.0549], [0.7500, 0.2500, 0.9451], [0.7500, 0.5106, 0.3261], [0.7500, 0.9894, 0.3261]]
}

{
  "formula": "PmPbF",
  "functional": "GGA-PBE",
  "state": "optimized geometry",
  "rho_g_cm3": 8.1,
  "magnetic_moment_mub_per_fu": 0.0,
  "e_form_raw_ev_per_atom": -1.91,
  "dos_at_fermi_per_ev_fu": 0.43,
  "cell": [[5.1764, 0.0000, 0.0000], [0.0000, 3.8942, 0.0000], [-2.0038, 0.0000, 7.5651]],
  "species": ["Pm", "Pm", "Pb", "Pb", "F", "F"],
  "fractional_positions": [[0.0060, 0.2500, 0.2291], [0.9940, 0.7500, 0.7709], [0.4519, 0.2500, 0.6445], [0.5481, 0.7500, 0.3555], [0.1312, 0.2500, 0.9507], [0.8688, 0.7500, 0.0493]]
}

{
  "formula": "Pm3Y",
  "functional": "GGA-PBE",
  "state": "optimized geometry",
  "rho_g_cm3": 6.4,
  "magnetic_moment_mub_per_fu": 0.0,
  "delta_e_f_mev_per_atom": 15,
  "dos_at_fermi_per_ev_fu": 6.45,
  "cell": [[5.1330, 0.0000, 0.0000], [0.0000, 5.1330, 0.0000], [0.0000, 0.0000, 5.1330]],
  "species": ["Pm", "Pm", "Pm", "Y"],
  "fractional_positions": [[0.0000, 0.0000, 0.5000], [0.0000, 0.5000, 0.0000], [0.5000, 0.0000, 0.0000], [0.5000, 0.5000, 0.5000]]
}

{
  "formula": "Tb4DyTm3S8",
  "functional": "GGA-PBE",
  "state": "optimized geometry",
  "rho_g_cm3": 7.8,
  "magnetic_moment_mub_per_fu": 0.0,
  "e_form_raw_ev_per_atom": -1.97,
  "dos_at_fermi_per_ev_fu": 8.64,
  "cell": [[3.8864, 2.2438, 6.3813], [-3.8864, 2.2438, 6.3813], [0.0000, -4.4877, 6.3813]],
  "species": ["Tb", "Tb", "Tb", "Tb", "Dy", "Tm", "Tm", "Tm", "S", "S", "S", "S", "S", "S", "S", "S"],
  "fractional_positions": [[0.0000, 0.0000, 0.0000], [0.0000, 0.5000, 0.5000], [0.5000, 0.0000, 0.5000], [0.5000, 0.5000, 0.0000], [0.5000, 0.5000, 0.5000], [0.0000, 0.0000, 0.5000], [0.0000, 0.5000, 0.0000], [0.5000, 0.0000, 0.0000], [0.2448, 0.7492, 0.7492], [0.2470, 0.2470, 0.2470], [0.2508, 0.2508, 0.7552], [0.2508, 0.7552, 0.2508], [0.7492, 0.2448, 0.7492], [0.7492, 0.7492, 0.2448], [0.7530, 0.7530, 0.7530], [0.7552, 0.2508, 0.2508]]
}

{
  "formula": "Li4MoN3",
  "functional": "GGA-PBE",
  "state": "optimized geometry",
  "rho_g_cm3": 2.9,
  "magnetic_moment_mub_per_fu": 0.0,
  "e_form_raw_ev_per_atom": -0.49,
  "dos_at_fermi_per_ev_fu": 0.01,
  "cell": [[5.0787, -2.7597, 0.0000], [5.0787, 2.7597, 0.0000], [-2.6206, 0.0000, 6.7313]],
  "species": ["Li", "Li", "Li", "Li", "Li", "Li", "Li", "Li", "Mo", "Mo", "N", "N", "N", "N", "N", "N"],
  "fractional_positions": [[0.1433, 0.8567, 0.5000], [0.3065, 0.8205, 0.1949], [0.3249, 0.9768, 0.8901], [0.6027, 0.8933, 0.5906], [0.8205, 0.3065, 0.6949], [0.8567, 0.1433, 0.0000], [0.8933, 0.6027, 0.0906], [0.9768, 0.3249, 0.3901], [0.2627, 0.5100, 0.7815], [0.5100, 0.2627, 0.2815], [0.1940, 0.2192, 0.1703], [0.2192, 0.1940, 0.6703], [0.5241, 0.5858, 0.4080], [0.5858, 0.5241, 0.9080], [0.8575, 0.9821, 0.2300], [0.9821, 0.8575, 0.7300]]
}

{
  "formula": "LaSm6HoTm2",
  "functional": "GGA-PBE",
  "state": "optimized geometry",
  "rho_g_cm3": 7.6,
  "magnetic_moment_mub_per_fu": 0.0,
  "delta_e_f_mev_per_atom": 117,
  "dos_at_fermi_per_ev_fu": 14.59,
  "cell": [[4.6743, -7.5370, 0.0000], [4.6743, 7.5370, 0.0000], [-0.9809, 0.0000, 9.5179]],
  "species": ["La", "La", "Sm", "Sm", "Sm", "Sm", "Sm", "Sm", "Sm", "Sm", "Sm", "Sm", "Sm", "Sm", "Ho", "Ho", "Tm", "Tm", "Tm", "Tm"],
  "fractional_positions": [[0.0346, 0.9654, 0.7500], [0.9654, 0.0346, 0.2500], [0.0067, 0.5544, 0.6814], [0.1149, 0.7581, 0.0567], [0.2419, 0.8851, 0.4433], [0.2942, 0.5186, 0.8839], [0.4456, 0.9933, 0.8186], [0.4814, 0.7058, 0.6161], [0.5186, 0.2942, 0.3839], [0.5544, 0.0067, 0.1814], [0.7058, 0.4814, 0.1161], [0.7581, 0.1149, 0.5567], [0.8851, 0.2419, 0.9433], [0.9933, 0.4456, 0.3186], [0.4108, 0.5892, 0.2500], [0.5892, 0.4108, 0.7500], [0.2038, 0.3027, 0.5518], [0.3027, 0.2038, 0.0518], [0.6973, 0.7962, 0.9482], [0.7962, 0.6973, 0.4482]]
}

{
  "formula": "TbZr2In",
  "functional": "GGA-PBE",
  "state": "optimized geometry",
  "rho_g_cm3": 7.7,
  "magnetic_moment_mub_per_fu": 0.0,
  "delta_e_f_mev_per_atom": -63,
  "dos_at_fermi_per_ev_fu": 5.19,
  "cell": [[3.2863, 0.0000, 0.0000], [0.0000, 3.2863, 0.0000], [0.0000, 0.0000, 9.1235]],
  "species": ["Tb", "Zr", "Zr", "In"],
  "fractional_positions": [[0.0000, 0.0000, 0.0000], [0.5000, 0.5000, 0.2680], [0.5000, 0.5000, 0.7320], [0.0000, 0.0000, 0.5000]]
}

{
  "formula": "Nd4Bi2SbP",
  "functional": "GGA-PBE",
  "state": "optimized geometry",
  "rho_g_cm3": 7.5,
  "magnetic_moment_mub_per_fu": 0.0,
  "e_form_raw_ev_per_atom": -1.12,
  "dos_at_fermi_per_ev_fu": 1.34,
  "cell": [[7.7529, 0.0000, 0.0000], [0.0000, 4.4518, 0.0000], [-2.5569, 0.0000, 7.3632]],
  "species": ["Nd", "Nd", "Nd", "Nd", "Bi", "Bi", "Sb", "P"],
  "fractional_positions": [[0.2319, 0.0000, 0.2285], [0.2432, 0.5000, 0.7642], [0.7568, 0.5000, 0.2358], [0.7681, 0.0000, 0.7715], [0.0000, 0.0000, 0.5000], [0.5000, 0.5000, 0.5000], [0.5000, 0.0000, 0.0000], [0.0000, 0.5000, 0.0000]]
}

{
  "formula": "Pu2AgHg3",
  "functional": "GGA-PBE",
  "state": "optimized geometry",
  "rho_g_cm3": 12.8,
  "magnetic_moment_mub_per_fu": 12.0,
  "delta_e_f_mev_per_atom": 42,
  "dos_at_fermi_per_ev_fu": 24.68,
  "cell": [[2.4883, -10.7240, 0.0000], [2.4883, 10.7240, 0.0000], [0.0000, 0.0000, 5.8384]],
  "species": ["Pu", "Pu", "Pu", "Pu", "Ag", "Ag", "Hg", "Hg", "Hg", "Hg", "Hg", "Hg"],
  "fractional_positions": [[0.0050, 0.9950, 0.7500], [0.1583, 0.8417, 0.2500], [0.8417, 0.1583, 0.7500], [0.9950, 0.0050, 0.2500], [0.3114, 0.6886, 0.2500], [0.6886, 0.3114, 0.7500], [0.2482, 0.7518, 0.7500], [0.4247, 0.5753, 0.5038], [0.4247, 0.5753, 0.9962], [0.5753, 0.4247, 0.0038], [0.5753, 0.4247, 0.4962], [0.7518, 0.2482, 0.2500]]
}

{
  "formula": "MgAsIr2",
  "functional": "GGA-PBE",
  "state": "optimized geometry",
  "rho_g_cm3": 11.4,
  "magnetic_moment_mub_per_fu": 0.0,
  "delta_e_f_mev_per_atom": 95,
  "dos_at_fermi_per_ev_fu": 3.04,
  "cell": [[7.1560, 0.0000, 0.0000], [0.0000, 7.1560, 0.0000], [0.0000, 0.0000, 5.4930]],
  "species": ["Mg", "Mg", "Mg", "Mg", "As", "As", "As", "As", "Ir", "Ir", "Ir", "Ir", "Ir", "Ir", "Ir", "Ir"],
  "fractional_positions": [[0.0000, 0.0000, 0.0000], [0.0000, 0.5000, 0.2500], [0.5000, 0.0000, 0.7500], [0.5000, 0.5000, 0.5000], [0.0000, 0.0000, 0.5000], [0.0000, 0.5000, 0.7500], [0.5000, 0.0000, 0.2500], [0.5000, 0.5000, 0.0000], [0.1899, 0.2500, 0.6250], [0.2500, 0.6899, 0.8750], [0.2500, 0.8101, 0.3750], [0.3101, 0.2500, 0.1250], [0.6899, 0.7500, 0.1250], [0.7500, 0.1899, 0.3750], [0.7500, 0.3101, 0.8750], [0.8101, 0.7500, 0.6250]]
}